Density functional theory data (PBE) for a relaxed Dy2CrIr3 crystal.

The value obtained for the energy is -0.6067 Ry per atom.

The structure belongs to space group P6_3/mmc (No. 194); the cell edges are 5.4750, 5.4750 and 8.2455 Å and the angles 90.00°, 90.00° and 120.00°. Symmetry generates all atoms from Dy at (0.3333, 0.6667, 0.0632), Cr at (0.0000, 0.0000, 0.0000) and Ir at (0.1685, 0.3369, 0.7500).